No. 1
An optimized crystal structure of Er3NbN4. Source: Alexandria, functional PBE-GGA.

Properties
The calculation puts the total energy at -8.713 eV/atom. The symmetry is No. 65.

a = 3.3237 Å, b = 5.7774 Å, c = 5.7774 Å
α = 109.16°, β = 90.00°, γ = 90.00°
Element x y z (fractional)
Nb 0.5000 0.0000 0.0000
N 0.5000 0.7597 0.2403
N 0.0000 0.2370 0.2370
N 0.5000 0.2403 0.7597
N 0.0000 0.7630 0.7630
Er 0.0000 0.5000 0.0000
Er 0.5000 0.5000 0.5000
Er 0.0000 0.0000 0.5000

---

No. 2
An optimized crystal structure of Pm6Ge3S2Br. Source: Alexandria, functional PBE-GGA.

Properties
The calculation puts the total energy at -5.716 eV/atom. The symmetry is No. 12.

a = 4.2218 Å, b = 8.4115 Å, c = 9.3856 Å
α = 102.26°, β = 103.00°, γ = 90.00°
Element x y z (fractional)
Pm 0.3331 0.4155 0.6662
Pm 0.3259 0.9130 0.6519
Pm 0.9985 0.7317 0.9970
Pm 0.6741 0.0870 0.3481
Pm 0.6669 0.5844 0.3338
Pm 0.0015 0.2683 0.0030
Br 0.5000 0.0000 0.0000
Ge 0.8365 0.1667 0.6730
Ge 0.1635 0.8333 0.3270
Ge 0.5000 0.5000 0.0000
S 0.1675 0.3336 0.3351
S 0.8325 0.6664 0.6649

---

No. 3
An optimized crystal structure of KSrPb2. Source: Alexandria, functional PBE-GGA.

Properties
The calculation puts the total energy at -2.860 eV/atom. For the excess energy over the best structure of this formula in the dataset, the calculation gives 0.9 meV per atom. For the energy of formation, the calculation gives -0.311 eV/atom. The symmetry is No. 10.

a = 5.1612 Å, b = 3.6306 Å, c = 8.6586 Å
α = 64.90°, β = 90.00°, γ = 90.00°
Element x y z (fractional)
Pb 0.0000 0.9584 0.0429
Pb 0.0000 0.5416 0.4571
Sr 0.5000 0.2500 0.2500
K 0.5000 0.7500 0.7500

---

No. 4
An optimized crystal structure of ZrPdBr2. Source: Alexandria, functional PBE-GGA.

Properties
The calculation puts the total energy at -4.339 eV/atom. For the excess energy over the best structure of this formula in the dataset, the calculation gives 428.7 meV per atom. The symmetry is No. 166.

a = 9.1233 Å, b = 9.1233 Å, c = 9.1233 Å
α = 22.52°, β = 22.52°, γ = 22.52°
Element x y z (fractional)
Br 0.9041 0.9041 0.9041
Br 0.0959 0.0959 0.0959
Zr 0.0000 0.0000 0.0000
Pd 0.5000 0.5000 0.5000

---

No. 5
An optimized crystal structure of LaNdSc. Source: Alexandria, functional PBE-GGA.

Properties
The calculation puts the total energy at -5.263 eV/atom. For the excess energy over the best structure of this formula in the dataset, the calculation gives 23.7 meV per atom. For the energy of formation, the calculation gives 0.079 eV/atom. The symmetry is No. 187.

a = 3.4627 Å, b = 5.6303 Å, c = 5.6303 Å
α = 120.00°, β = 90.00°, γ = 90.00°
Element x y z (fractional)
La 0.6667 0.3333 0.6667
Nd 0.1665 0.6667 0.3333
Sc 0.1668 0.0000 0.0000

---

No. 6
An optimized crystal structure of Ce3Y2ErTe6. Source: Alexandria, functional PBE-GGA.

Properties
The calculation puts the total energy at -5.848 eV/atom. The symmetry is No. 12.

a = 7.5861 Å, b = 7.5861 Å, c = 7.7815 Å
α = 99.35°, β = 99.35°, γ = 120.09°
Site moments in Bohr magnetons follow the coordinates.
Element x y z (fractional)
Te 0.7492 0.7492 0.2393  -0.01
Te 0.9210 0.5901 0.7625  -0.01
Te 0.0790 0.4099 0.2375  -0.01
Te 0.2508 0.2508 0.7607  -0.01
Te 0.5901 0.9210 0.7625  -0.01
Te 0.4099 0.0790 0.2375  -0.01
Ce 0.5000 0.5000 0.5000  0.99
Ce 0.1684 0.8316 0.5000  0.99
Ce 0.8316 0.1684 0.5000  0.99
Y 0.3336 0.6664 0.0000  -0.01
Y 0.6664 0.3336 0.0000  -0.01
Er 0.0000 0.0000 0.0000  -0.01

---

No. 7
An optimized crystal structure of NdSn2Pt. Source: Alexandria, functional PBE-GGA.

Properties
The calculation puts the total energy at -4.865 eV/atom. For the energy of formation, the calculation gives -0.162 eV/atom. The symmetry is No. 166.

a = 3.5729 Å, b = 3.5729 Å, c = 10.3036 Å
α = 80.02°, β = 80.02°, γ = 60.00°
Element x y z (fractional)
Nd 0.0000 0.0000 0.0000
Sn 0.8936 0.8936 0.3192
Sn 0.1064 0.1064 0.6808
Pt 0.5000 0.5000 0.5000

---

No. 8
An optimized crystal structure of W2Se. Source: Alexandria, functional PBE-GGA.

Properties
The calculation puts the total energy at -9.741 eV/atom. For the excess energy over the best structure of this formula in the dataset, the calculation gives 0.0 meV per atom. The symmetry is No. 63.

a = 8.9486 Å, b = 8.9486 Å, c = 4.2558 Å
α = 90.00°, β = 90.00°, γ = 158.82°
Element x y z (fractional)
W 0.0702 0.9298 0.7500
W 0.4420 0.5580 0.7500
W 0.9298 0.0702 0.2500
W 0.5580 0.4420 0.2500
Se 0.1714 0.8286 0.2500
Se 0.8286 0.1714 0.7500

---

Question: Which formula does entry 2 have?
Answer: Pm6Ge3S2Br